(1)
TbCeTlHg: optimized geometry, GGA-PBE.

Cell lengths 5.410, 5.410, 5.410 Å; angles 60.00, 60.00, 60.00 degrees
Positions (direct):
Hg1 0.500 0.500 0.500
Tb1 0.250 0.250 0.250
Tl1 0.000 0.000 0.000
Ce1 0.750 0.750 0.750

Calculated values
DOS(E_F): 2.608 states/eV/atom



(2)
Lu3B5O12: optimized geometry, GGA-PBE.

Cell lengths 4.587, 12.487, 12.785 Å; angles 90.00, 90.00, 90.00 degrees
Positions (direct):
B1 0.458 0.127 0.000
B2 0.533 0.151 0.702
B3 0.538 0.851 0.500
B4 0.458 0.373 0.500
B5 0.462 0.351 0.000
B6 0.538 0.649 0.000
B7 0.542 0.873 0.000
B8 0.467 0.849 0.702
B9 0.467 0.849 0.298
B10 0.542 0.627 0.500
B11 0.467 0.651 0.202
B12 0.500 0.500 0.662
B13 0.467 0.651 0.798
B14 0.500 0.000 0.838
B15 0.500 0.000 0.162
B16 0.500 0.500 0.338
B17 0.462 0.149 0.500
B18 0.533 0.151 0.298
B19 0.533 0.349 0.798
B20 0.533 0.349 0.202
Lu1 0.000 0.500 0.132
Lu2 0.004 0.193 0.865
Lu3 0.996 0.693 0.365
Lu4 0.996 0.807 0.135
Lu5 0.000 0.000 0.632
Lu6 0.004 0.307 0.365
Lu7 0.000 0.500 0.868
Lu8 0.996 0.807 0.865
Lu9 0.996 0.693 0.635
Lu10 0.004 0.193 0.135
Lu11 0.004 0.307 0.635
Lu12 0.000 0.000 0.368
O1 0.302 0.261 0.500
O2 0.302 0.239 0.000
O3 0.307 0.936 0.233
O4 0.220 0.348 0.796
O5 0.665 0.925 0.096
O6 0.339 0.856 0.595
O7 0.661 0.144 0.595
O8 0.335 0.425 0.596
O9 0.698 0.761 0.000
O10 0.335 0.075 0.096
O11 0.780 0.652 0.796
O12 0.762 0.359 0.500
O13 0.780 0.652 0.204
O14 0.339 0.644 0.095
O15 0.661 0.144 0.405
O16 0.761 0.931 0.500
O17 0.693 0.064 0.767
O18 0.761 0.569 0.000
O19 0.665 0.575 0.404
O20 0.220 0.152 0.296
O21 0.780 0.848 0.296
O22 0.220 0.152 0.704
O23 0.661 0.356 0.095
O24 0.307 0.936 0.767
O25 0.239 0.431 0.000
O26 0.663 0.250 0.250
O27 0.307 0.564 0.267
O28 0.335 0.425 0.404
O29 0.220 0.348 0.204
O30 0.339 0.856 0.405
O31 0.665 0.575 0.596
O32 0.780 0.848 0.704
O33 0.335 0.075 0.904
O34 0.307 0.564 0.733
O35 0.762 0.141 0.000
O36 0.693 0.436 0.267
O37 0.239 0.069 0.500
O38 0.665 0.925 0.904
O39 0.693 0.436 0.733
O40 0.693 0.064 0.233
O41 0.337 0.750 0.250
O42 0.337 0.750 0.750
O43 0.238 0.641 0.500
O44 0.663 0.250 0.750
O45 0.661 0.356 0.905
O46 0.698 0.739 0.500
O47 0.339 0.644 0.905
O48 0.238 0.859 0.000

Calculated values
E_form (uncorrected): -286.00 kJ per mole of atoms
DOS(E_F): 0.000 states/eV/atom



(3)
MnSb: optimized geometry, GGA-PBE.

Cell lengths 6.827, 6.827, 5.499 Å; angles 61.95, 61.95, 34.40 degrees
Positions (direct):
Sb1 0.261 0.261 0.839
Sb2 0.048 0.048 0.522
Sb3 0.931 0.931 0.146
Mn1 0.619 0.619 0.786
Mn2 0.286 0.286 0.325
Mn3 0.689 0.689 0.217

Calculated values
E_form (uncorrected): 19.23 kJ per mole of atoms
DOS(E_F): 0.790 states/eV/atom



(4)
PuScUTc: optimized geometry, GGA-PBE.

Cell lengths 4.823, 4.823, 4.823 Å; angles 60.00, 60.00, 60.00 degrees
Positions (direct):
Tc1 0.000 0.000 0.000
U1 0.750 0.750 0.750
Pu1 0.500 0.500 0.500
Sc1 0.250 0.250 0.250

Calculated values
DOS(E_F): 1.898 states/eV/atom



(5)
YPuOsPt: optimized geometry, GGA-PBE.

Cell lengths 4.880, 4.880, 4.880 Å; angles 60.00, 60.00, 60.00 degrees
Positions (direct):
Pu1 0.500 0.500 0.500
Pt1 0.250 0.250 0.250
Os1 0.750 0.750 0.750
Y1 0.000 0.000 0.000

Calculated values
DOS(E_F): 1.895 states/eV/atom



(6)
MnAg2Hg: optimized geometry, GGA-PBE.

Cell lengths 5.112, 5.112, 4.890 Å; angles 78.01, 78.01, 35.85 degrees
Positions (direct):
Ag1 0.993 0.993 0.012
Ag2 0.507 0.507 0.488
Mn1 0.250 0.250 0.250
Hg1 0.750 0.750 0.750

Calculated values
DOS(E_F): 0.306 states/eV/atom



(7)
Tl2CrGeSb: optimized geometry, GGA-PBE.

Cell lengths 5.304, 5.557, 5.304 Å; angles 90.00, 90.00, 90.00 degrees
Positions (direct):
Sb1 0.000 0.500 0.000
Ge1 0.000 0.000 0.000
Tl1 0.500 0.000 0.000
Tl2 0.000 0.000 0.500
Cr1 0.500 0.500 0.500

Calculated values
E_form (uncorrected): 124.77 kJ per mole of atoms
DOS(E_F): 1.004 states/eV/atom



(8)
TaAl2Tc: optimized geometry, GGA-PBE.

Cell lengths 2.799, 2.799, 8.723 Å; angles 90.00, 90.00, 109.21 degrees
Positions (direct):
Al1 0.000 0.000 0.987
Al2 0.500 0.500 0.250
Ta1 0.000 0.000 0.507
Tc1 0.500 0.500 0.756

Calculated values
DOS(E_F): 0.670 states/eV/atom
Offset from the most stable computed form: 0.315 eV/atom



Respective DFT total energy values: -14.55; -662.93; -38.68; -42.07; -39.78; -14.40; -16.63; -29.97 eV/cell.